DFT (PBE-GGA) results for an optimized crystal structure of TbSm3Hg5.

a = 6.614 Å, b = 9.222 Å, c = 9.222 Å
α = 120.00°, β = 90.00°, γ = 90.00°
Sites, in units of the cell vectors:
1 Tb 0.000 0.000 0.000
2 Tb 0.500 0.000 0.000
3 Sm 0.750 0.371 0.371
4 Sm 0.750 0.000 0.629
5 Sm 0.750 0.629 0.000
6 Sm 0.250 0.629 0.629
7 Sm 0.250 0.000 0.371
8 Sm 0.250 0.371 0.000
9 Hg 0.000 0.667 0.333
10 Hg 0.500 0.333 0.667
11 Hg 0.000 0.333 0.667
12 Hg 0.500 0.667 0.333
13 Hg 0.750 0.704 0.704
14 Hg 0.750 0.000 0.296
15 Hg 0.750 0.296 0.000
16 Hg 0.250 0.296 0.296
17 Hg 0.250 0.000 0.704
18 Hg 0.250 0.704 0.000

- ΔH_f (0 K): -0.4205 eV/atom
- Crystal system: hexagonal
- VASP energy: -2.68 eV/atom